TaBeBi after structural relaxation, computed with PBE.

The raw total energy is -5.408 eV per atom. The calculation puts the total magnetization at 0.44 μB/cell. The value obtained for the mass density is 9.79 g/cm3.

Cell: 6.469 6.469 6.469 Å, 90.00 90.00 90.00°
Space group F-43m (No. 216)
Asymmetric unit:
Ta 0.000 0.000 0.000
Be 0.250 0.250 0.750
Bi 0.250 0.250 0.250